Entry 1:
Entry from the Alexandria database: a geometry-optimized RbLiMgBr4 structure (GGA-PBE).

Output
formation energy from raw total energies = -35.70 kcal/mol of atoms
DOS at the Fermi energy = 0.00 states/eV/cell
calculated total energy = -3.14 eV per atom

Cell lengths 6.664, 8.177, 9.305 Å; angles 90.00, 103.09, 90.00 degrees
Space group P2_1/m (No. 11)
One atom of each set of equivalent atoms:
1 Rb 0.222 0.250 0.091 (multiplicity 2)
2 Li 0.301 0.250 0.681 (multiplicity 2)
3 Mg 0.199 0.750 0.320 (multiplicity 2)
4 Br 0.059 0.020 0.728 (multiplicity 4)
5 Br 0.375 0.750 0.104 (multiplicity 2)
6 Br 0.491 0.250 0.470 (multiplicity 2)

=====

Entry 2:
Entry from the Alexandria database: a geometry-optimized Rb2LiMgBr6 structure (GGA-PBE).

Output
formation energy from raw total energies = -31.94 kcal/mol of atoms
DOS at the Fermi energy = 45.36 states/eV/cell
calculated total energy = -2.93 eV per atom

Cell lengths 10.783, 10.783, 10.783 Å; angles 90.00, 90.00, 90.00 degrees
Space group Fm-3m (No. 225)
One atom of each set of equivalent atoms:
1 Rb 0.250 0.250 0.250 (multiplicity 8)
2 Li 0.000 0.000 0.000 (multiplicity 4)
3 Mg 0.000 0.000 0.500 (multiplicity 4)
4 Br 0.000 0.000 0.253 (multiplicity 24)

=====

Entry 3:
Entry from the Alexandria database: a geometry-optimized Rb3Li2MgBr6 structure (GGA-PBE).

Output
formation energy from raw total energies = -32.40 kcal/mol of atoms
DOS at the Fermi energy = 1.99 states/eV/cell
calculated total energy = -2.94 eV per atom

Cell lengths 7.7564, 7.7564, 8.9001 Å; angles 90.00, 90.00, 120.00 degrees
Space group P-3m1 (No. 164)
One atom of each set of equivalent atoms:
1 Rb 0.0000 0.0000 0.0000 (multiplicity 1)
2 Rb 0.3333 0.6667 0.6439 (multiplicity 2)
3 Li 0.3333 0.6667 0.2137 (multiplicity 2)
4 Mg 0.0000 0.0000 0.5000 (multiplicity 1)
5 Br 0.1614 0.3227 0.3155 (multiplicity 6)

=====

Entry 4:
Entry from the Alexandria database: a geometry-optimized RbLiMg2Br6 structure (GGA-PBE).

Output
formation energy from raw total energies = -34.72 kcal/mol of atoms
DOS at the Fermi energy = 0.00 states/eV/cell
calculated total energy = -3.12 eV per atom

Cell lengths 14.204, 14.426, 7.969 Å; angles 90.00, 110.65, 90.00 degrees
Space group C2/c (No. 15)
One atom of each set of equivalent atoms:
1 Rb 0.000 0.121 0.250 (multiplicity 4)
2 Li 0.000 0.208 0.750 (multiplicity 4)
3 Mg 0.189 0.424 0.183 (multiplicity 8)
4 Br 0.113 0.273 0.049 (multiplicity 8)
5 Br 0.122 0.084 0.696 (multiplicity 8)
6 Br 0.136 0.443 0.459 (multiplicity 8)

=====

Entry 5:
Entry from the Alexandria database: a geometry-optimized Rb2Li2MgBr6 structure (GGA-PBE).

Output
formation energy from raw total energies = -35.80 kcal/mol of atoms
DOS at the Fermi energy = 0.00 states/eV/cell
calculated total energy = -3.13 eV per atom

Cell lengths 13.187, 7.772, 8.104 Å; angles 90.00, 116.71, 90.00 degrees
Space group C2/m (No. 12)
One atom of each set of equivalent atoms:
1 Rb 0.206 0.000 0.168 (multiplicity 4)
2 Li 0.071 0.500 0.290 (multiplicity 4)
3 Mg 0.000 0.000 0.500 (multiplicity 2)
4 Br 0.042 0.240 0.768 (multiplicity 8)
5 Br 0.227 0.000 0.606 (multiplicity 4)

=====

Entry 6:
Entry from the Alexandria database: a geometry-optimized LiMgScBr6 structure (GGA-PBE).

Output
formation energy from raw total energies = -35.94 kcal/mol of atoms
DOS at the Fermi energy = 0.00 states/eV/cell
calculated total energy = -3.77 eV per atom

Cell lengths 6.7719, 6.7719, 12.6042 Å; angles 90.00, 90.00, 120.00 degrees
Space group P-31c (No. 163)
One atom of each set of equivalent atoms:
1 Li 0.0000 0.0000 0.0000 (multiplicity 2)
2 Mg 0.3333 0.6667 0.2500 (multiplicity 2)
3 Sc 0.3333 0.6667 0.7500 (multiplicity 2)
4 Br 0.0027 0.3496 0.6295 (multiplicity 12)

=====

Entry 7:
Entry from the Alexandria database: a geometry-optimized LiMgSe2Br structure (GGA-PBE).

Output
formation energy from raw total energies = -11.11 kcal/mol of atoms
DOS at the Fermi energy = 5.05 states/eV/cell
calculated total energy = -2.91 eV per atom

Cell lengths 5.060, 5.060, 5.529 Å; angles 90.00, 90.00, 90.00 degrees
Space group P4/mmm (No. 123)
One atom of each set of equivalent atoms:
1 Li 0.000 0.000 0.000 (multiplicity 1)
2 Mg 0.500 0.500 0.500 (multiplicity 1)
3 Se 0.000 0.500 0.500 (multiplicity 2)
4 Br 0.500 0.500 0.000 (multiplicity 1)

=====

Entry 8:
Entry from the Alexandria database: a geometry-optimized LiMgSe2Br structure (GGA-PBE).

Output
formation energy from raw total energies = -6.00 kcal/mol of atoms
DOS at the Fermi energy = 1.91 states/eV/cell
calculated total energy = -2.69 eV per atom

Cell lengths 4.537, 4.537, 5.688 Å; angles 90.00, 90.00, 90.00 degrees
Space group P4/mmm (No. 123)
One atom of each set of equivalent atoms:
1 Li 0.000 0.000 0.000 (multiplicity 1)
2 Mg 0.500 0.500 0.500 (multiplicity 1)
3 Se 0.000 0.500 0.000 (multiplicity 2)
4 Br 0.000 0.000 0.500 (multiplicity 1)

=====

Entry 9:
Entry from the Alexandria database: a geometry-optimized Li2MgSnBr6 structure (GGA-PBE).

Output
formation energy from raw total energies = -28.76 kcal/mol of atoms
DOS at the Fermi energy = 0.00 states/eV/cell
calculated total energy = -3.19 eV per atom

Cell lengths 7.0190, 7.0190, 19.3184 Å; angles 90.00, 90.00, 120.00 degrees
Space group R3 (No. 146, hexagonal axes)
One atom of each set of equivalent atoms:
1 Li 0.0000 0.0000 0.0000 (multiplicity 3)
2 Li 0.0000 0.0000 0.4949 (multiplicity 3)
3 Mg 0.0000 0.0000 0.6861 (multiplicity 3)
4 Sn 0.0000 0.0000 0.1910 (multiplicity 3)
5 Br 0.0050 0.3362 0.7560 (multiplicity 9)
6 Br 0.0185 0.6361 0.2631 (multiplicity 9)

=====

Entry 10:
Entry from the Alexandria database: a geometry-optimized LiTbMgBr6 structure (GGA-PBE).

Output
formation energy from raw total energies = -37.61 kcal/mol of atoms
DOS at the Fermi energy = 0.00 states/eV/cell
calculated total energy = -3.65 eV per atom

Cell lengths 6.9505, 6.9505, 12.7432 Å; angles 90.00, 90.00, 120.00 degrees
Space group P-31c (No. 163)
One atom of each set of equivalent atoms:
1 Li 0.0000 0.0000 0.0000 (multiplicity 2)
2 Tb 0.3333 0.6667 0.2500 (multiplicity 2)
3 Mg 0.3333 0.6667 0.7500 (multiplicity 2)
4 Br 0.0130 0.3502 0.6275 (multiplicity 12)

=====

Entry 11:
Entry from the Alexandria database: a geometry-optimized LiMgTl2Br5 structure (GGA-PBE).

Output
formation energy from raw total energies = -27.82 kcal/mol of atoms
DOS at the Fermi energy = 0.00 states/eV/cell
calculated total energy = -3.05 eV per atom

Cell lengths 4.149, 19.152, 14.175 Å; angles 90.00, 90.00, 90.00 degrees
Space group Cmc2_1 (No. 36)
One atom of each set of equivalent atoms:
1 Li 0.000 0.066 0.000 (multiplicity 4)
2 Mg 0.000 0.288 0.579 (multiplicity 4)
3 Tl 0.000 0.371 0.865 (multiplicity 4)
4 Tl 0.000 0.399 0.226 (multiplicity 4)
5 Br 0.000 0.001 0.848 (multiplicity 4)
6 Br 0.000 0.151 0.554 (multiplicity 4)
7 Br 0.000 0.196 0.950 (multiplicity 4)
8 Br 0.000 0.222 0.207 (multiplicity 4)
9 Br 0.000 0.429 0.602 (multiplicity 4)

=====

Entry 12:
Entry from the Alexandria database: a geometry-optimized LiMg2TlBr6 structure (GGA-PBE).

Output
formation energy from raw total energies = -30.46 kcal/mol of atoms
DOS at the Fermi energy = 0.00 states/eV/cell
calculated total energy = -3.07 eV per atom

Cell lengths 14.236, 14.017, 7.901 Å; angles 90.00, 110.94, 90.00 degrees
Space group C2/c (No. 15)
One atom of each set of equivalent atoms:
1 Li 0.000 0.204 0.250 (multiplicity 4)
2 Mg 0.189 0.423 0.691 (multiplicity 8)
3 Tl 0.000 0.123 0.750 (multiplicity 4)
4 Br 0.116 0.267 0.555 (multiplicity 8)
5 Br 0.121 0.078 0.186 (multiplicity 8)
6 Br 0.133 0.440 0.965 (multiplicity 8)

=====

Entry 13:
Entry from the Alexandria database: a geometry-optimized LiTmMgBr6 structure (GGA-PBE).

Output
formation energy from raw total energies = -37.55 kcal/mol of atoms
DOS at the Fermi energy = 0.00 states/eV/cell
calculated total energy = -3.63 eV per atom

Cell lengths 6.8933, 6.8933, 12.7291 Å; angles 90.00, 90.00, 120.00 degrees
Space group P-31c (No. 163)
One atom of each set of equivalent atoms:
1 Li 0.0000 0.0000 0.0000 (multiplicity 2)
2 Tm 0.3333 0.6667 0.2500 (multiplicity 2)
3 Mg 0.3333 0.6667 0.7500 (multiplicity 2)
4 Br 0.0078 0.3492 0.6282 (multiplicity 12)

=====

Entry 14:
Entry from the Alexandria database: a geometry-optimized LiMnBr4 structure (GGA-PBE).

Output
formation energy from raw total energies = 8.66 kcal/mol of atoms
DOS at the Fermi energy = 19.60 states/eV/cell
calculated total energy = -2.59 eV per atom

Cell lengths 9.186, 9.186, 9.186 Å; angles 90.00, 90.00, 90.00 degrees
Space group F-43m (No. 216)
One atom of each set of equivalent atoms:
1 Li 0.000 0.000 0.000 (multiplicity 4)
2 Mn 0.250 0.250 0.750 (multiplicity 4)
3 Br 0.125 0.125 0.375 (multiplicity 16)

=====

Entry 15:
Entry from the Alexandria database: a geometry-optimized Li2MnBr structure (GGA-PBE).

Output
formation energy from raw total energies = -3.32 kcal/mol of atoms
DOS at the Fermi energy = 5.20 states/eV/cell
calculated total energy = -3.81 eV per atom

Cell lengths 3.326, 3.420, 15.150 Å; angles 90.00, 90.00, 90.00 degrees
Space group Imm2 (No. 44)
One atom of each set of equivalent atoms:
1 Li 0.000 0.000 0.000 (multiplicity 2)
2 Li 0.000 0.500 0.210 (multiplicity 2)
3 Mn 0.000 0.500 0.831 (multiplicity 2)
4 Br 0.000 0.000 0.573 (multiplicity 2)

=====

Entry 16:
Entry from the Alexandria database: a geometry-optimized Li2MnBr structure (GGA-PBE).

Output
formation energy from raw total energies = -4.25 kcal/mol of atoms
DOS at the Fermi energy = 2.88 states/eV/cell
calculated total energy = -3.85 eV per atom

Cell lengths 3.437, 3.422, 6.193 Å; angles 90.00, 90.49, 90.00 degrees
Space group P2/m (No. 10)
One atom of each set of equivalent atoms:
1 Li 0.005 0.000 0.250 (multiplicity 2)
2 Mn 0.500 0.500 0.000 (multiplicity 1)
3 Br 0.500 0.500 0.500 (multiplicity 1)

=====

Entry 17:
Entry from the Alexandria database: a geometry-optimized LiMn2Br5 structure (GGA-PBE).

Output
formation energy from raw total energies = -19.97 kcal/mol of atoms
calculated total energy = -4.44 eV per atom

Cell lengths 12.764, 7.241, 6.708 Å; angles 90.00, 119.11, 90.00 degrees
Space group Cm (No. 8)
One atom of each set of equivalent atoms:
1 Li 0.000 0.000 0.000 (multiplicity 2)
2 Mn 0.018 0.000 0.552 (multiplicity 2)
3 Mn 0.422 0.000 0.968 (multiplicity 2)
4 Br 0.044 0.252 0.297 (multiplicity 4)
5 Br 0.213 0.000 0.937 (multiplicity 2)
6 Br 0.401 0.254 0.671 (multiplicity 4)

=====

Entry 18:
Entry from the Alexandria database: a geometry-optimized LiMnBr structure (GGA-PBE).

Output
formation energy from raw total energies = 2.84 kcal/mol of atoms
DOS at the Fermi energy = 1.58 states/eV/cell
calculated total energy = -4.13 eV per atom

Cell lengths 4.3877, 4.3877, 3.5246 Å; angles 90.00, 90.00, 120.00 degrees
Space group P3m1 (No. 156)
One atom of each set of equivalent atoms:
1 Li 0.0000 0.0000 0.0000 (multiplicity 1)
2 Mn 0.6667 0.3333 0.5002 (multiplicity 1)
3 Br 0.3333 0.6667 0.5018 (multiplicity 1)

=====

Entry 19:
Entry from the Alexandria database: a geometry-optimized Li3Mn2Br8 structure (GGA-PBE).

Output
formation energy from raw total energies = -23.91 kcal/mol of atoms
DOS at the Fermi energy = 23.82 states/eV/cell
calculated total energy = -3.92 eV per atom

Cell lengths 13.047, 8.226, 7.087 Å; angles 90.00, 91.48, 90.00 degrees
Space group C2/m (No. 12)
One atom of each set of equivalent atoms:
1 Li 0.000 0.000 0.000 (multiplicity 2)
2 Li 0.000 0.245 0.500 (multiplicity 4)
3 Mn 0.202 0.000 0.334 (multiplicity 4)
4 Br 0.113 0.500 0.667 (multiplicity 4)
5 Br 0.115 0.228 0.179 (multiplicity 8)
6 Br 0.129 0.000 0.651 (multiplicity 4)

=====

Entry 20:
Entry from the Alexandria database: a geometry-optimized Li6MnBr8 structure (GGA-PBE).

Output
formation energy from raw total energies = -31.73 kcal/mol of atoms
DOS at the Fermi energy = 0.00 states/eV/cell
calculated total energy = -3.64 eV per atom

Cell lengths 11.054, 11.054, 11.054 Å; angles 90.00, 90.00, 90.00 degrees
Space group Fm-3m (No. 225)
One atom of each set of equivalent atoms:
1 Li 0.000 0.250 0.250 (multiplicity 24)
2 Mn 0.000 0.000 0.000 (multiplicity 4)
3 Br 0.000 0.000 0.244 (multiplicity 24)
4 Br 0.250 0.250 0.250 (multiplicity 8)

=====

Ordered M_tot results: 0.00, 0.00, 0.47, 0.00, 0.00, 0.00, 0.86, 0.00, 0.00, 0.00, 0.00, 0.00, 0.00, 31.63, 8.58, 4.13, 20.00, 3.43, 18.00, 20.00; unit μB per cell.